1.
The following is a DFT calculation (PBE) of Cu2MoIr after structural relaxation.

abc: 4.9403 4.9403 4.9403
angles: 144.79 128.36 64.04
Positions (direct):
Cu: 0.7625 0.2625 0.5000
Ir: 0.5092 0.5092 0.0000
Cu: 0.9855 0.9855 0.0000
Mo: 0.2428 0.7428 0.5000

Computed properties:
DFT total energy = -0.251 hartree per atom
Offset from the most stable computed form = 100 meV/atom
Formation energy from the elements = 0.133 eV/atom
D(E_F) = 2.80 states/eV per cell
Space-group type = No. 44

---

2.
The following is a DFT calculation (PBE) of CsSb2Cl8 after structural relaxation.

abc: 6.9556 8.5520 8.5520
angles: 58.78 103.89 103.89
Positions (direct):
Cs: 0.0000 0.0000 0.0000
Cl: 0.1441 0.2368 0.2368
Cl: 0.8559 0.7632 0.7632
Cl: 0.5386 0.3405 0.9490
Cl: 0.8377 0.4135 0.4135
Cl: 0.4614 0.6595 0.0510
Cl: 0.5386 0.9490 0.3405
Sb: 0.4860 0.7249 0.7249
Sb: 0.5140 0.2751 0.2751
Cl: 0.4614 0.0510 0.6595
Cl: 0.1623 0.5865 0.5865

Computed properties:
DFT total energy = -0.114 hartree per atom
D(E_F) = 4.71 states/eV per cell
E_form (uncorrected) = -0.93 eV per atom
Space-group type = No. 12

---

3.
The following is a DFT calculation (PBE) of BaSr4In4 after structural relaxation.

abc: 6.7956 10.8466 10.8466
angles: 90.00 90.00 90.00
Positions (direct):
In: 0.6256 0.7842 0.3501
Sr: 0.1252 0.8413 0.4005
Sr: 0.6252 0.0995 0.3413
In: 0.3744 0.3501 0.2158
Ba: 0.5000 0.5000 0.5000
In: 0.3744 0.6499 0.7842
In: 0.8744 0.2842 0.8501
Sr: 0.1252 0.1587 0.5995
Ba: 0.0000 0.0000 0.0000
In: 0.6256 0.2158 0.6499
Sr: 0.3748 0.6587 0.0995
In: 0.1256 0.1499 0.2842
In: 0.1256 0.8501 0.7158
Sr: 0.3748 0.3413 0.9005
Sr: 0.6252 0.9005 0.6587
Sr: 0.8748 0.5995 0.8413
In: 0.8744 0.7158 0.1499
Sr: 0.8748 0.4005 0.1587

Computed properties:
DFT total energy = -0.089 hartree per atom
Formation energy from the elements = -0.243 eV/atom
D(E_F) = 19.93 states/eV per cell
Space-group type = No. 86

---

4.
The following is a DFT calculation (PBE) of Dy2ThAl9 after structural relaxation.

abc: 5.5903 5.5903 9.3528
angles: 72.61 72.61 60.00
Positions (direct):
Th: 0.0000 0.0000 0.0000
Al: 0.4130 0.4130 0.2505
Al: 0.3351 0.3351 0.9947
Al: 0.9234 0.4130 0.2505
Al: 0.5000 0.5000 0.5000
Al: 0.6649 0.6649 0.0053
Dy: 0.8590 0.8590 0.4231
Al: 0.4130 0.9234 0.2505
Al: 0.5870 0.0766 0.7495
Al: 0.5870 0.5870 0.7495
Al: 0.0766 0.5870 0.7495
Dy: 0.1410 0.1410 0.5769

Computed properties:
DFT total energy = -0.168 hartree per atom
Formation energy from the elements = -0.383 eV/atom
D(E_F) = 6.57 states/eV per cell
Space-group type = No. 166

---

5.
The following is a DFT calculation (PBE) of Sr2ZnHAu after structural relaxation.

abc: 5.4917 5.4917 3.9000
angles: 90.00 90.00 90.00
Positions (direct):
Sr: 0.5000 0.0000 0.0000
H: 0.0000 0.0000 0.0000
Sr: 0.0000 0.5000 0.0000
Au: 0.0000 0.0000 0.5000
Zn: 0.5000 0.5000 0.5000

Computed properties:
DFT total energy = -0.097 hartree per atom
Offset from the most stable computed form = 22 meV/atom
D(E_F) = 2.83 states/eV per cell
Space-group type = No. 123

---

6.
The following is a DFT calculation (PBE) of Rb12Cd after structural relaxation.

abc: 11.1791 11.1791 11.1791
angles: 109.47 109.47 109.47
Positions (direct):
Rb: 0.3047 0.1302 0.8256
Rb: 0.8256 0.3047 0.1302
Rb: 0.8698 0.1744 0.6954
Rb: 0.3047 0.4791 0.1744
Rb: 0.6953 0.5209 0.8256
Cd: 0.0000 0.0000 0.0000
Rb: 0.1302 0.8256 0.3046
Rb: 0.8256 0.6954 0.5209
Rb: 0.6953 0.8698 0.1744
Rb: 0.1744 0.3046 0.4791
Rb: 0.1744 0.6953 0.8698
Rb: 0.5209 0.8256 0.6953
Rb: 0.4791 0.1744 0.3047

Computed properties:
DFT total energy = -0.034 hartree per atom
Formation energy from the elements = 0.032 eV/atom
D(E_F) = 12.32 states/eV per cell
Space-group type = No. 204